A geometry-optimized Cd23SnHg6 structure, computed with GGA-PBE.

Calculated values
density	8.94	g/cm³
space group	I4/mmm
uncorrected energy	-0.8542	eV per atom
total magnetic moment	0.000	μB/atom

Structure (extended XYZ):
```
30
Lattice="9.4918 0.9937 4.6687 4.1010 8.6174 4.6683 0.0002 -0.0003 9.3370" Properties=species:S:1:pos:R:3 pbc="T T T"
Cd 6.4582 1.5029 4.6684
Cd 7.1349 8.1079 14.0057
Cd 1.7824 1.2603 7.1698
Cd 1.7826 1.2601 2.1672
Cd 11.8106 8.3505 11.5042
Cd 11.8105 8.3506 16.5069
Cd 3.5699 5.5875 4.6686
Cd 10.0232 4.0232 14.0055
Cd 6.7964 4.8055 4.6685
Cd 0.0001 -0.0002 4.6685
Cd 4.7459 0.4969 2.3344
Cd 2.0506 4.3085 7.0027
Cd 4.7460 0.4967 7.0029
Cd 2.0505 4.3087 2.3342
Cd 10.4671 3.8183 9.3372
Cd 3.1259 5.7925 9.3368
Cd 4.8149 3.4039 12.2622
Cd 4.8147 3.4042 6.4118
Cd 8.7782 6.2068 6.4118
Cd 8.7784 6.2065 12.2622
Cd 7.0894 8.5951 9.3368
Cd 6.5036 1.0156 9.3372
Cd 0.0000 0.0000 0.0000
Sn 6.7965 4.8054 9.3370
Hg 9.4003 6.6465 9.3370
Hg 4.1927 2.9642 9.3370
Hg 8.0694 3.0052 7.1323
Hg 5.5236 6.6056 11.5418
Hg 8.0697 3.0049 11.5422
Hg 5.5234 6.6059 7.1319
```



A geometry-optimized CdSnHg2 structure, computed with GGA-PBE.

Calculated values
density	10.18	g/cm³
space group	R3m
uncorrected energy	-1.3267	eV per atom
total magnetic moment	0.000	μB/atom
E above lowest polymorph	26	meV/atom

Structure (extended XYZ):
```
4
Lattice="-1.8463 1.7961 -2.5561 1.0470 -0.1947 -3.4690 -5.6019 -6.6676 -3.2146" Properties=species:S:1:pos:R:3 pbc="T T T"
Cd -6.1329 -5.5976 -7.2309
Sn -3.2046 -2.5385 -4.6207
Hg -4.3165 -4.9326 -2.9240
Hg -1.5497 -1.1983 -2.2985
```



A geometry-optimized CdSnHg2 structure, computed with GGA-PBE.

Calculated values
density	9.38	g/cm³
space group	Pnma
uncorrected energy	-1.3346	eV per atom
total magnetic moment	0.000	μB/atom
E above lowest polymorph	18	meV/atom

Structure (extended XYZ):
```
16
Lattice="3.1451 0.0000 0.0000 0.0000 7.0847 0.0000 0.0000 0.0000 20.0876" Properties=species:S:1:pos:R:3 pbc="T T T"
Cd 2.3588 2.4396 10.6631
Cd 0.7863 1.1027 0.6193
Cd 0.7863 4.6451 9.4245
Cd 2.3588 5.9820 19.4683
Sn 2.3588 0.0638 8.4897
Sn 0.7863 3.4785 18.5335
Sn 0.7863 7.0209 11.5979
Sn 2.3588 3.6062 1.5541
Hg 2.3588 2.9023 7.2037
Hg 0.7863 0.6401 17.2475
Hg 0.7863 4.1824 12.8839
Hg 2.3588 6.4446 2.8401
Hg 2.3588 5.7225 5.7780
Hg 0.7863 4.9046 15.8218
Hg 0.7863 1.3623 14.3096
Hg 2.3588 2.1801 4.2658
```



A geometry-optimized CdSn2Hg4 structure, computed with GGA-PBE.

Calculated values
density	6.22	g/cm³
space group	I4/mmm
uncorrected energy	-1.0533	eV per atom
total magnetic moment	0.000	μB/atom
E above lowest polymorph	315	meV/atom

Structure (extended XYZ):
```
7
Lattice="-1.7620 -1.5728 4.7148 2.4709 -4.6176 -0.6170 8.6856 7.2941 2.7302" Properties=species:S:1:pos:R:3 pbc="T T T"
Cd 0.0000 0.0000 0.0000
Sn 4.7356 -1.0603 4.3651
Sn 4.6590 2.1640 2.4630
Hg 7.0224 0.0019 5.5740
Hg 2.3722 1.1018 1.2541
Hg 1.2355 -2.3088 -0.3085
Hg -0.8810 -0.7864 2.3574
```



A geometry-optimized CdSnHg2 structure, computed with GGA-PBE.

Calculated values
density	9.90	g/cm³
space group	I-42d
uncorrected energy	-1.3132	eV per atom
total magnetic moment	0.000	μB/atom
E above lowest polymorph	39	meV/atom

Structure (extended XYZ):
```
8
Lattice="-2.3789 -3.2782 -1.8758 3.0298 -0.3326 -3.2610 5.7064 -8.9900 3.1637" Properties=species:S:1:pos:R:3 pbc="T T T"
Cd 0.3254 -1.8054 -2.5684
Cd 4.5308 -5.5640 -1.3328
Hg 0.3338 -4.3169 -0.7770
Hg 3.0075 -2.8863 -1.4938
Hg 4.5434 -8.0987 0.4255
Hg 4.8298 -9.8999 -2.1009
Sn 0.0000 0.0000 0.0000
Sn 1.8265 -7.0368 -0.6402
```



A geometry-optimized Cd6Sn2Hg5 structure, computed with GGA-PBE.

Calculated values
density	9.65	g/cm³
space group	Pbam
uncorrected energy	-1.1026	eV per atom
total magnetic moment	0.000	μB/atom

Structure (extended XYZ):
```
26
Lattice="4.1131 0.0000 0.0000 0.0000 11.6270 0.0000 0.0000 0.0000 13.7858" Properties=species:S:1:pos:R:3 pbc="T T T"
Cd 0.0000 2.0154 6.1293
Cd 0.0000 9.6116 7.6565
Cd 0.0000 7.8289 0.7636
Cd 0.0000 3.7981 13.0222
Cd 2.0566 3.4253 1.7745
Cd 2.0566 8.2018 12.0113
Cd 2.0566 9.2388 5.1184
Cd 2.0566 2.3882 8.6674
Cd 0.0000 6.9166 5.2665
Cd 0.0000 4.7104 8.5193
Cd 0.0000 1.1031 1.6264
Cd 0.0000 10.5239 12.1594
Sn 0.0000 4.1484 3.9175
Sn 0.0000 7.4786 9.8683
Sn 0.0000 9.9619 2.9754
Sn 0.0000 1.6651 10.8104
Hg 2.0566 4.4147 6.2293
Hg 2.0566 7.2123 7.5565
Hg 2.0566 10.2282 0.6636
Hg 2.0566 1.3988 13.1222
Hg 2.0566 6.7742 2.9621
Hg 2.0566 4.8528 10.8237
Hg 2.0566 0.9607 3.9308
Hg 2.0566 10.6663 9.8550
Hg 2.0566 5.8135 0.0000
Hg 2.0566 0.0000 6.8929
```



A geometry-optimized Cd3SnHg7 structure, computed with GGA-PBE.

Calculated values
density	10.45	g/cm³
space group	C2/m
uncorrected energy	-0.7533	eV per atom
total magnetic moment	0.000	μB/atom
E above lowest polymorph	0	meV/atom

Structure (extended XYZ):
```
11
Lattice="-5.6144 -1.4634 0.9035 4.1391 -5.6885 -3.2880 4.3839 -0.6617 6.3754" Properties=species:S:1:pos:R:3 pbc="T T T"
Cd 4.1966 -4.5063 -1.0154
Cd -2.8072 -0.7317 0.4518
Cd 4.3263 -1.8439 4.1028
Sn 1.4543 -3.9068 1.9955
Hg 0.5558 -1.3572 0.6919
Hg 0.9968 -1.2018 3.8955
Hg 2.0431 -3.9148 5.2803
Hg 0.8654 -3.8989 -1.2894
Hg 4.2615 -3.1751 1.5437
Hg 1.9118 -6.6119 0.0954
Hg 2.3528 -6.4565 3.2990
```



A geometry-optimized Cd3Sn12Hg5 structure, computed with GGA-PBE.

Calculated values
density	7.20	g/cm³
space group	Ia-3d
uncorrected energy	-2.4490	eV per atom
total magnetic moment	0.000	μB/atom

Structure (extended XYZ):
```
80
Lattice="-4.3846 -14.2405 0.5720 2.6196 3.8287 -14.1712 12.4759 1.6842 7.9912" Properties=species:S:1:pos:R:3 pbc="T T T"
Cd -0.7466 -9.0341 -3.8863
Cd -0.3123 -9.3784 -9.1290
Cd 8.1179 -1.4160 -5.4194
Cd 3.9098 -2.4500 1.3683
Cd -0.3901 -11.5608 0.7269
Cd 3.1120 -2.5262 -6.6447
Cd 7.5989 -6.2014 1.0367
Cd 11.1010 2.8332 -6.3349
Cd 6.8012 -6.2776 -6.9763
Cd 2.5930 -7.3116 -0.1886
Cd 11.0232 0.6508 3.5210
Cd 11.4575 0.3065 -1.7217
Hg 3.5533 0.0768 -3.2449
Hg 1.3098 1.9144 -7.0856
Hg 0.0000 0.0000 0.0000
Hg 0.5702 -4.1725 -2.3294
Hg 4.0457 -6.2782 4.2816
Hg -0.8825 -5.2059 -6.7996
Hg 6.0951 1.7231 -7.5602
Hg 7.9554 -8.7281 5.6499
Hg 3.0273 -7.6559 -5.4313
Hg 8.0402 -3.5984 4.4365
Hg 2.6708 -5.1291 -10.0445
Hg 5.3555 -4.3638 -2.8040
Hg -2.1923 -7.1203 0.2860
Hg 6.2379 0.8421 3.9956
Hg 7.6836 -1.0717 -0.1767
Hg 2.7555 0.0005 -11.2579
Hg 7.5478 2.7565 -3.0900
Hg 4.6158 -10.4506 1.9522
Hg 10.1408 -4.5551 -3.2786
Hg 7.1577 -8.8043 -2.3631
Sn -2.0324 -9.7810 -0.9657
Sn 5.3907 -1.8767 -4.3803
Sn 0.2187 -11.4534 -2.4917
Sn -0.1954 -6.9447 -1.8712
Sn 7.5990 -4.5711 -4.7001
Sn -0.5456 -10.8488 -6.2093
Sn 5.5852 -1.1431 -7.4815
Sn 3.7452 2.7047 -11.6930
Sn 8.2512 -3.4054 -7.5999
Sn 0.4179 -7.8465 -6.7103
Sn 2.3232 -8.6753 -2.7958
Sn -0.4025 -8.2135 -12.1911
Sn 8.3810 1.8331 -5.7592
Sn 0.7267 -3.3905 -5.1303
Sn 6.5752 2.8106 -10.2187
Sn 5.6810 -4.2771 2.8697
Sn 2.8907 -0.3481 -0.4410
Sn 0.6990 -3.5224 -8.6262
Sn 2.0657 -7.9746 -10.1800
Sn 1.3285 -0.2552 -5.0945
Sn 10.4421 -0.3297 -6.8851
Sn 4.2061 -4.9929 -5.4412
Sn 5.1620 -9.1087 -6.7779
Sn 8.7809 -8.1493 2.9178
Sn 6.5048 -3.7347 -0.1668
Sn 5.5489 0.3811 1.1699
Sn 1.9300 -0.5782 -8.5257
Sn 8.6453 -0.7530 4.5720
Sn 0.2689 -8.3978 1.2771
Sn 9.3825 -8.4723 -0.5134
Sn 10.0119 -5.2052 3.0182
Sn 5.0300 -4.4504 -8.4777
Sn 7.8203 -8.3794 -5.1669
Sn 4.1358 -11.5382 4.6108
Sn 2.3299 -10.5607 0.1512
Sn 11.1134 -0.5141 6.5831
Sn 9.9842 -5.3371 -0.4776
Sn 2.4597 -5.3222 1.9919
Sn 10.2930 -0.8811 1.1023
Sn 8.3878 -0.0522 -2.8122
Sn 6.9657 -11.4322 6.0851
Sn 5.1257 -7.5844 1.8735
Sn 10.9064 -1.7829 -3.7367
Sn 11.2565 2.1213 0.6013
Sn 3.1119 -4.1565 -0.9079
Sn 10.4923 2.7259 -3.1163
Sn 5.3203 -6.8509 -1.2276
Sn 12.7434 1.0534 -4.6423
```



A geometry-optimized Cd3Sn5Hg12 structure, computed with GGA-PBE.

Calculated values
density	8.98	g/cm³
space group	Ia-3d
uncorrected energy	-1.1649	eV per atom
total magnetic moment	0.000	μB/atom

Structure (extended XYZ):
```
80
Lattice="-13.0153 -4.5385 5.2362 10.7663 -4.5175 9.0052 0.1134 14.7230 -0.7975" Properties=species:S:1:pos:R:3 pbc="T T T"
Cd -5.7100 -3.2575 7.2044
Cd -3.2995 -5.5189 11.2359
Cd 3.2648 4.1118 8.2191
Cd -1.8655 3.8218 2.1356
Cd -10.0143 -0.8551 5.5079
Cd 1.8765 -0.8446 7.3924
Cd -4.0122 6.5116 6.0515
Cd 7.8786 6.5221 7.9360
Cd -0.2701 1.8452 11.3083
Cd -5.4005 1.5552 5.2249
Cd 1.1639 11.1859 2.2080
Cd 3.5743 8.9245 6.2395
Sn 2.4388 1.4194 3.8321
Sn 5.3831 -2.2588 4.5026
Sn 0.0000 0.0000 0.0000
Sn -2.1750 -0.9909 4.1152
Sn -6.4510 5.0922 2.2194
Sn -1.1245 -4.5280 7.1207
Sn 6.4903 1.5657 7.1094
Sn -8.3165 8.9141 4.3550
Sn -2.9900 -0.7062 9.2563
Sn -3.4499 8.7756 2.4911
Sn 1.3143 -3.1086 10.9528
Sn -1.0678 2.8335 6.7220
Sn -6.5077 -2.2692 2.6181
Sn 0.0567 7.3615 -0.3987
Sn 0.8544 6.3732 4.1876
Sn 6.1808 -3.2471 9.0889
Sn 5.4399 5.1027 4.1039
Sn -8.6260 4.1013 6.3345
Sn 0.0394 6.6579 9.3287
Sn -4.5744 4.2476 9.6118
Hg -8.0723 -3.0001 5.0276
Hg 1.8268 2.2439 6.4738
Hg -8.2371 -1.9712 7.9537
Hg -4.8118 -1.6018 4.9562
Hg 0.2093 3.8315 9.2041
Hg -5.9914 -4.3348 9.9179
Hg 3.9899 0.9730 8.3050
Hg 8.7931 -2.3892 8.4012
Hg 2.6953 3.0343 10.8869
Hg -3.1083 -3.5328 9.0860
Hg -5.2386 -0.0996 7.6411
Hg -0.8151 -7.0074 12.6491
Hg 6.1841 4.3739 6.8793
Hg -0.1094 -2.1488 5.6725
Hg 8.7634 0.7121 8.5714
Hg -3.7029 5.9807 2.8879
Hg 0.5887 2.2415 1.8486
Hg 1.5505 -3.9335 8.2515
Hg -1.0571 -3.9344 12.2672
Hg 2.5615 -1.3752 4.2885
Hg 5.4343 5.4023 9.7127
Hg -0.5461 0.4557 8.4137
Hg -3.0672 0.3520 11.8845
Hg -6.3073 8.3253 6.2654
Hg -1.5895 5.2113 5.0302
Hg 0.9316 5.3149 1.5594
Hg 4.1716 -2.6584 7.1785
Hg -1.0786 9.6014 1.1767
Hg -7.5699 0.2647 3.7312
Hg -4.6972 7.0422 9.1554
Hg -3.6862 9.6005 5.1924
Hg 1.5673 -0.3137 10.5560
Hg -2.7243 3.4255 11.5953
Hg -10.8990 4.9549 4.8725
Hg -8.3197 1.2931 6.5646
Hg -1.3205 12.6744 0.7948
Hg -2.0263 7.8158 7.7714
Hg -4.8309 2.6326 2.5570
Hg 0.9726 9.1998 4.3579
Hg 3.1030 5.7666 5.8028
Hg -10.9287 8.0562 5.0428
Hg -6.1256 4.6940 5.1389
Hg 2.6761 7.2688 8.4877
Hg 3.8558 10.0017 3.5260
Hg -2.3449 1.8355 4.2398
Hg 6.1015 7.6381 5.4902
Hg -3.9625 3.4231 6.9701
Hg 5.9367 8.6670 8.4163
```



A geometry-optimized Cd5Sn2Hg3 structure, computed with GGA-PBE.

Calculated values
density	9.34	g/cm³
space group	C2/c
uncorrected energy	-1.3047	eV per atom
total magnetic moment	0.000	μB/atom

Structure (extended XYZ):
```
20
Lattice="-1.7813 -4.2904 -6.1490 7.4577 -3.8555 1.4203 -6.5186 -2.7822 4.7192" Properties=species:S:1:pos:R:3 pbc="T T T"
Cd -5.5458 -6.4270 1.2066
Cd 5.3978 -5.0541 1.9088
Cd 4.7037 -4.5011 -1.2162
Cd -6.2399 -5.8740 -1.9184
Cd -0.0391 -4.9113 4.7683
Cd -0.8030 -6.0168 -4.7778
Cd -0.1729 -6.5889 -1.7050
Cd -0.6692 -4.3392 1.6955
Cd -1.3954 -3.7555 -1.3540
Cd 0.5532 -7.1726 1.3444
Sn 2.2791 -6.5033 -3.8926
Sn -3.7968 -3.8233 0.8262
Sn -3.1213 -4.4248 3.8831
Sn 2.9547 -7.1049 -0.8357
Hg -2.4787 -6.6881 0.4777
Hg 2.3247 -4.8430 2.6282
Hg 1.6366 -4.2400 -0.4873
Hg -3.1669 -6.0851 -2.6377
Hg -6.3197 -3.9032 3.0306
Hg 5.4776 -7.0249 -3.0402
```



A geometry-optimized CdSnHg14 structure, computed with GGA-PBE.

Calculated values
density	11.85	g/cm³
space group	Cmmm
uncorrected energy	-0.5411	eV per atom
total magnetic moment	0.000	μB/atom

Structure (extended XYZ):
```
16
Lattice="-6.1471 1.9654 -1.0261 -4.1601 -4.6555 -1.9292 -2.4577 -2.1771 10.5536" Properties=species:S:1:pos:R:3 pbc="T T T"
Cd -5.0939 -2.0973 4.1686
Sn -10.2477 -3.4424 2.6909
Hg -9.0188 -2.3539 -2.5859
Hg -3.8652 -1.0088 -1.1082
Hg -8.1676 -1.1147 3.6555
Hg -6.9387 -0.0261 -1.6213
Hg -7.1741 -4.4251 3.2040
Hg -5.9453 -3.3366 -2.0728
Hg -4.9820 0.1101 1.7681
Hg -6.2058 -0.9740 7.0233
Hg -3.9824 -3.2207 1.3138
Hg -5.2062 -4.3048 6.5690
Hg -7.0107 -2.2111 0.7859
Hg -8.2476 -3.3068 6.0975
Hg -1.9407 -0.8880 2.2400
Hg -3.1775 -1.9835 7.5508
```



A geometry-optimized Cd12SnHg6 structure, computed with GGA-PBE.

Calculated values
density	9.33	g/cm³
space group	R-3
uncorrected energy	-0.8418	eV per atom
total magnetic moment	0.000	μB/atom

Structure (extended XYZ):
```
19
Lattice="-6.6491 4.2610 0.2381 -3.8466 -3.9514 5.6581 1.6797 4.6436 6.1676" Properties=species:S:1:pos:R:3 pbc="T T T"
Cd -6.5225 3.1102 5.9376
Cd -4.8985 1.3297 7.8554
Cd -4.0062 4.2279 7.3176
Cd -2.2935 1.8431 6.1261
Cd -3.9174 3.6235 4.2083
Cd -4.8097 0.7253 4.7462
Cd -2.8898 -1.1137 6.1843
Cd -2.7897 2.6424 9.5776
Cd -7.6385 0.4793 6.9223
Cd -5.9261 6.0669 5.8794
Cd -6.0263 2.3108 2.4862
Cd -1.1774 4.4739 5.1415
Sn 0.0000 0.0000 0.0000
Hg -8.0582 2.5912 9.1513
Hg -3.2512 1.3333 1.5127
Hg -1.7031 -0.4861 3.3911
Hg -0.7577 2.3621 2.9124
Hg -5.5648 3.6200 10.5510
Hg -7.1129 5.4393 8.6727
```



A geometry-optimized CdSn2Hg5 structure, computed with GGA-PBE.

Calculated values
density	10.83	g/cm³
space group	I4/mmm
uncorrected energy	-1.2373	eV per atom
total magnetic moment	0.000	μB/atom

Structure (extended XYZ):
```
8
Lattice="4.3642 0.0000 -0.8463 -0.1641 4.3611 -0.8463 -0.1392 -0.1446 10.9577" Properties=species:S:1:pos:R:3 pbc="T T T"
Cd 0.0000 0.0000 0.0000
Sn 3.0709 3.1887 4.1603
Sn 0.9899 1.0279 5.1048
Hg 2.1000 2.1806 -0.8463
Hg 1.3992 3.7186 7.2151
Hg 3.6633 1.5380 7.2151
Hg 2.6617 0.4980 2.0500
Hg 0.3975 2.6785 2.0500
```



A geometry-optimized CdSnHg2 structure, computed with GGA-PBE.

Calculated values
density	10.23	g/cm³
space group	R-3m
uncorrected energy	-1.3527	eV per atom
total magnetic moment	0.000	μB/atom
E above lowest polymorph	0	meV/atom

Structure (extended XYZ):
```
4
Lattice="-3.2390 0.0201 -0.3718 -1.9341 -0.7577 2.5130 -2.0043 10.4834 3.7335" Properties=species:S:1:pos:R:3 pbc="T T T"
Cd -3.5887 4.8729 2.9374
Sn 0.0000 0.0000 0.0000
Hg -1.9293 7.6079 2.9242
Hg -5.2481 2.1378 2.9505
```